Here is a relaxed structure of ZnB2Mo2 from Alexandria via LeMat-Bulk. Energies are from PBE.

abc: 5.8867 5.8867 3.1909
angles: 90.00 90.00 90.00
Space group P4/mbm (No. 127)
Inequivalent atoms, fractional coordinates:
Zn (0.0000, 0.0000, 0.0000) (multiplicity 2)
B (0.1090, 0.3910, 0.0000) (multiplicity 4)
Mo (0.1728, 0.6728, 0.5000) (multiplicity 4)

Computed properties:
Energy of formation from the pure elements, eV/atom: -0.21


Here is a relaxed structure of ZnB3Mo from Alexandria via LeMat-Bulk. Energies are from PBE.

abc: 4.1535 4.1535 4.1535
angles: 90.00 90.00 90.00
Space group Pm-3m (No. 221)
Inequivalent atoms, fractional coordinates:
Zn (0.0000, 0.0000, 0.0000) (multiplicity 1)
B (0.0000, 0.5000, 0.5000) (multiplicity 3)
Mo (0.5000, 0.5000, 0.5000) (multiplicity 1)

Computed properties:
Energy of formation from the pure elements, eV/atom: 1.37
ΔE to the lowest computed polymorph, eV/atom: 0.000


Here is a relaxed structure of ZrZn2BMo from Alexandria via LeMat-Bulk. Energies are from PBE.

abc: 4.1004 4.1004 4.6251
angles: 90.00 90.00 90.00
Space group P4/mmm (No. 123)
Inequivalent atoms, fractional coordinates:
Zr (0.0000, 0.0000, 0.0000) (multiplicity 1)
Zn (0.0000, 0.5000, 0.5000) (multiplicity 2)
B (0.0000, 0.0000, 0.5000) (multiplicity 1)
Mo (0.5000, 0.5000, 0.0000) (multiplicity 1)

Computed properties:
Energy of formation from the pure elements, eV/atom: 0.43


Here is a relaxed structure of ZrBMo from Alexandria via LeMat-Bulk. Energies are from PBE.

abc: 3.5850 3.5850 6.8966
angles: 90.00 90.00 90.00
Space group P4/nmm (No. 129, origin choice 2)
Inequivalent atoms, fractional coordinates:
Zr (0.2500, 0.2500, 0.1383) (multiplicity 2)
B (0.2500, 0.2500, 0.7464) (multiplicity 2)
Mo (0.2500, 0.7500, 0.5000) (multiplicity 2)

Computed properties:
Energy of formation from the pure elements, eV/atom: -0.36
ΔE to the lowest computed polymorph, eV/atom: 0.110


Here is a relaxed structure of ZrBMo from Alexandria via LeMat-Bulk. Energies are from PBE.

abc: 8.9159 3.2508 7.2285
angles: 90.00 124.02 90.00
Space group Cm (No. 8)
Inequivalent atoms, fractional coordinates:
Zr (0.0000, 0.0000, 0.0000) (multiplicity 2)
Zr (0.1078, 0.5000, 0.7182) (multiplicity 2)
B (0.0344, 0.5000, 0.2827) (multiplicity 2)
B (0.3050, 0.0000, 0.0485) (multiplicity 2)
Mo (0.2346, 0.0000, 0.5143) (multiplicity 2)
Mo (0.3308, 0.5000, 0.2832) (multiplicity 2)

Computed properties:
Energy of formation from the pure elements, eV/atom: -0.31
ΔE to the lowest computed polymorph, eV/atom: 0.159


Here is a relaxed structure of ZrBMo from Alexandria via LeMat-Bulk. Energies are from PBE.

abc: 11.1101 3.2045 4.8734
angles: 90.00 94.72 90.00
Space group C2/m (No. 12)
Inequivalent atoms, fractional coordinates:
Zr (0.1416, 0.0000, 0.3684) (multiplicity 4)
B (0.2343, 0.0000, 0.9049) (multiplicity 4)
Mo (0.0789, 0.5000, 0.8348) (multiplicity 4)

Computed properties:
Energy of formation from the pure elements, eV/atom: -0.40
ΔE to the lowest computed polymorph, eV/atom: 0.071


Here is a relaxed structure of ZrB2Mo2 from Alexandria via LeMat-Bulk. Energies are from PBE.

abc: 4.1379 4.1379 8.1441
angles: 90.00 90.00 90.00
Space group I4/mmm (No. 139)
Inequivalent atoms, fractional coordinates:
Zr (0.0000, 0.0000, 0.0000) (multiplicity 2)
B (0.0000, 0.5000, 0.2500) (multiplicity 4)
Mo (0.0000, 0.0000, 0.3361) (multiplicity 4)

Computed properties:
Energy of formation from the pure elements, eV/atom: -0.10
ΔE to the lowest computed polymorph, eV/atom: 0.305


Here is a relaxed structure of ZrBMo from Alexandria via LeMat-Bulk. Energies are from PBE.

abc: 4.7952 3.2203 5.8861
angles: 90.00 103.08 90.00
Space group P2_1/m (No. 11)
Inequivalent atoms, fractional coordinates:
Zr (0.0603, 0.2500, 0.2648) (multiplicity 2)
B (0.4066, 0.7500, 0.5324) (multiplicity 2)
Mo (0.4530, 0.2500, 0.8146) (multiplicity 2)

Computed properties:
Energy of formation from the pure elements, eV/atom: -0.39
ΔE to the lowest computed polymorph, eV/atom: 0.083


Here is a relaxed structure of ZrBMo from Alexandria via LeMat-Bulk. Energies are from PBE.

abc: 9.4990 3.1868 6.1845
angles: 90.00 108.21 90.00
Space group C2/m (No. 12)
Inequivalent atoms, fractional coordinates:
Zr (0.0000, 0.0000, 0.0000) (multiplicity 2)
Zr (0.0000, 0.5000, 0.5000) (multiplicity 2)
B (0.2089, 0.0000, 0.4310) (multiplicity 4)
Mo (0.2501, 0.0000, 0.8084) (multiplicity 4)

Computed properties:
Energy of formation from the pure elements, eV/atom: -0.29
ΔE to the lowest computed polymorph, eV/atom: 0.175


Here is a relaxed structure of ZrBMo3 from Alexandria via LeMat-Bulk. Energies are from PBE.

abc: 4.3003 4.3003 4.3003
angles: 90.00 90.00 90.00
Space group Pm-3m (No. 221)
Inequivalent atoms, fractional coordinates:
Zr (0.0000, 0.0000, 0.0000) (multiplicity 1)
B (0.5000, 0.5000, 0.5000) (multiplicity 1)
Mo (0.0000, 0.5000, 0.5000) (multiplicity 3)

Computed properties:
Energy of formation from the pure elements, eV/atom: 0.09
ΔE to the lowest computed polymorph, eV/atom: 0.000


Here is a relaxed structure of ZrBMo from Alexandria via LeMat-Bulk. Energies are from PBE.

abc: 3.1767 4.5570 6.2824
angles: 79.42 83.20 89.82
Space group P-1 (No. 2)
Inequivalent atoms, fractional coordinates:
Zr (0.1885, 0.2875, 0.3461) (multiplicity 2)
B (0.2480, 0.6139, 0.9706) (multiplicity 2)
Mo (0.2938, 0.1604, 0.8502) (multiplicity 2)

Computed properties:
Energy of formation from the pure elements, eV/atom: -0.43
ΔE to the lowest computed polymorph, eV/atom: 0.034


Here is a relaxed structure of ZrBMo3 from Alexandria via LeMat-Bulk. Energies are from PBE.

abc: 4.7781 4.7781 4.7781
angles: 90.00 90.00 90.00
Space group Pm-3m (No. 221)
Inequivalent atoms, fractional coordinates:
Zr (0.0000, 0.0000, 0.0000) (multiplicity 1)
B (0.5000, 0.5000, 0.5000) (multiplicity 1)
Mo (0.0000, 0.0000, 0.5000) (multiplicity 3)

Computed properties:
Energy of formation from the pure elements, eV/atom: 2.97
ΔE to the lowest computed polymorph, eV/atom: 2.876


Here is a relaxed structure of ZrBMo from Alexandria via LeMat-Bulk. Energies are from PBE.

abc: 5.3611 10.3492 6.3780
angles: 90.00 90.00 90.00
Space group Cmce (No. 64)
Inequivalent atoms, fractional coordinates:
Zr (0.0000, 0.1888, 0.0998) (multiplicity 8)
B (0.0000, 0.0836, 0.4584) (multiplicity 8)
Mo (0.2500, 0.0515, 0.7500) (multiplicity 8)

Computed properties:
Energy of formation from the pure elements, eV/atom: -0.38
ΔE to the lowest computed polymorph, eV/atom: 0.087


Here is a relaxed structure of ZrB2Mo2 from Alexandria via LeMat-Bulk. Energies are from PBE.

abc: 6.8515 6.8515 2.8046
angles: 90.00 90.00 90.00
Space group P4/mbm (No. 127)
Inequivalent atoms, fractional coordinates:
Zr (0.0000, 0.0000, 0.0000) (multiplicity 2)
B (0.1617, 0.3383, 0.5000) (multiplicity 4)
Mo (0.1302, 0.6302, 0.0000) (multiplicity 4)

Computed properties:
Energy of formation from the pure elements, eV/atom: 0.33
ΔE to the lowest computed polymorph, eV/atom: 0.731


Here is a relaxed structure of Zr2BMo from Alexandria via LeMat-Bulk. Energies are from PBE.

abc: 7.6540 7.6540 4.7455
angles: 90.00 90.00 90.00
Space group I-42d (No. 122)
Inequivalent atoms, fractional coordinates:
Zr (0.1700, 0.2500, 0.1250) (multiplicity 8)
B (0.0000, 0.0000, 0.0000) (multiplicity 4)
Mo (0.0000, 0.0000, 0.5000) (multiplicity 4)

Computed properties:
Energy of formation from the pure elements, eV/atom: 0.38


Here is a relaxed structure of Zr9BMo4 from Alexandria via LeMat-Bulk. Energies are from PBE.

abc: 8.6456 8.6456 8.5999
angles: 90.00 90.00 120.00
Space group P6_3/mmc (No. 194)
Inequivalent atoms, fractional coordinates:
Zr (0.0792, 0.5396, 0.2500) (multiplicity 6)
Zr (0.2033, 0.4066, 0.5562) (multiplicity 12)
B (0.3333, 0.6667, 0.7500) (multiplicity 2)
Mo (0.0000, 0.0000, 0.0000) (multiplicity 2)
Mo (0.1101, 0.2201, 0.2500) (multiplicity 6)

Computed properties:
Energy of formation from the pure elements, eV/atom: -0.13


Here is a relaxed structure of ZrBMo from Alexandria via LeMat-Bulk. Energies are from PBE.

abc: 10.4600 3.2199 5.2292
angles: 90.00 91.07 90.00
Space group Cm (No. 8)
Inequivalent atoms, fractional coordinates:
Zr (0.0000, 0.0000, 0.0000) (multiplicity 2)
Zr (0.2197, 0.5000, 0.7496) (multiplicity 2)
B (0.0756, 0.0000, 0.4871) (multiplicity 2)
B (0.3344, 0.0000, 0.0824) (multiplicity 2)
Mo (0.2113, 0.5000, 0.2603) (multiplicity 2)
Mo (0.4300, 0.0000, 0.4772) (multiplicity 2)

Computed properties:
Energy of formation from the pure elements, eV/atom: -0.26
ΔE to the lowest computed polymorph, eV/atom: 0.211


Here is a relaxed structure of ZrBMo from Alexandria via LeMat-Bulk. Energies are from PBE.

abc: 3.3691 5.3687 9.7798
angles: 90.00 90.00 90.00
Space group Immm (No. 71)
Inequivalent atoms, fractional coordinates:
Zr (0.0000, 0.0000, 0.2092) (multiplicity 4)
B (0.0000, 0.5000, 0.0909) (multiplicity 4)
Mo (0.0000, 0.2511, 0.5000) (multiplicity 4)

Computed properties:
Energy of formation from the pure elements, eV/atom: -0.34
ΔE to the lowest computed polymorph, eV/atom: 0.129


Here is a relaxed structure of ZrBMo2 from Alexandria via LeMat-Bulk. Energies are from PBE.

abc: 3.6725 3.6725 19.0667
angles: 90.00 90.00 90.00
Space group I-42d (No. 122)
Inequivalent atoms, fractional coordinates:
Zr (0.0000, 0.0000, 0.0000) (multiplicity 4)
B (0.0000, 0.0000, 0.5000) (multiplicity 4)
Mo (0.2283, 0.2500, 0.6250) (multiplicity 8)

Computed properties:
Energy of formation from the pure elements, eV/atom: 0.56


Here is a relaxed structure of ZrBMo from Alexandria via LeMat-Bulk. Energies are from PBE.

abc: 9.5709 3.3664 6.5392
angles: 90.00 125.01 90.00
Space group C2/m (No. 12)
Inequivalent atoms, fractional coordinates:
Zr (0.0846, 0.0000, 0.3336) (multiplicity 4)
B (0.1114, 0.5000, 0.6462) (multiplicity 4)
Mo (0.1948, 0.5000, 0.0872) (multiplicity 4)

Computed properties:
Energy of formation from the pure elements, eV/atom: -0.47
ΔE to the lowest computed polymorph, eV/atom: 0.000